The following is a DFT calculation (PBE-GGA) of Zr2SnMoRu after structural relaxation.

Calculated values
Its mass density is 6.619 g/cm³. As for the crystal system: tetragonal. The calculation puts the formation energy at 23.6 kcal/mol of atoms.

Lattice parameters (Å, degrees): 4.958 4.958 5.083 90.00 90.00 90.00
Space group P4/mmm (No. 123)
Asymmetric unit:
Zr (0.000, 0.500, 0.000) [2 per cell]
Sn (0.000, 0.000, 0.500) [1 per cell]
Mo (0.000, 0.000, 0.000) [1 per cell]
Ru (0.500, 0.500, 0.500) [1 per cell]